Entry 1:
# Co5Tc

An optimized crystal structure of Co5Tc (PBE-GGA, the Alexandria database).

Computed properties:
The value obtained for the density of states at the Fermi level is 8.37 states/eV/f.u. Its crystal system is tetragonal. The polymorph energy (0 for the lowest one) comes out at 6 meV/atom.

Cell and atoms, written as CIF:
```
data_Co5Tc
_chemical_formula_sum 'Co5 Tc1'
_cell_length_a 2.5580
_cell_length_b 2.5580
_cell_length_c 10.5192
_cell_angle_alpha 90.00
_cell_angle_beta 90.00
_cell_angle_gamma 90.00
_symmetry_space_group_name_H-M 'P 4/m m m'
_symmetry_Int_Tables_number 123
_symmetry_space_group_name_Hall '-P 4 2'
loop_
_atom_site_label
_atom_site_type_symbol
_atom_site_fract_x
_atom_site_fract_y
_atom_site_fract_z
Co1 Co 0.0000 0.0000 0.0000
Co2 Co 0.0000 0.0000 0.3206
Co3 Co 0.5000 0.5000 0.1615
Tc1 Tc 0.5000 0.5000 0.5000
```

=====

Entry 2:
# Tl3Rh2Se4

An optimized crystal structure of Tl3Rh2Se4 (PBE-GGA, the Alexandria database).

Computed properties:
The value obtained for the density of states at the Fermi level is 5.02 states/eV/f.u. The value obtained for the uncorrected formation energy is -0.2824 eV per atom. Its crystal system is monoclinic.

Cell and atoms, written as CIF:
```
data_Tl3Rh2Se4
_chemical_formula_sum 'Tl6 Rh4 Se8'
_cell_length_a 14.8440
_cell_length_b 3.7547
_cell_length_c 9.0318
_cell_angle_alpha 90.00
_cell_angle_beta 102.66
_cell_angle_gamma 90.00
_symmetry_space_group_name_H-M 'C 1 2/m 1'
_symmetry_Int_Tables_number 12
loop_
_symmetry_equiv_pos_as_xyz
'x,y,z'
'-x,-y,-z'
'-x,y,-z'
'x,-y,z'
'x+1/2,y+1/2,z'
'-x+1/2,-y+1/2,-z'
'-x+1/2,y+1/2,-z'
'x+1/2,-y+1/2,z'
loop_
_atom_site_label
_atom_site_type_symbol
_atom_site_fract_x
_atom_site_fract_y
_atom_site_fract_z
Tl1 Tl 0.0000 0.0000 0.0000
Tl2 Tl 0.1267 0.5000 0.5422
Rh1 Rh 0.2416 0.0000 0.8244
Se1 Se 0.1562 0.5000 0.9126
Se2 Se 0.1738 0.0000 0.2702
```

=====

no.,raw total energy (eV per atom)
1,-7.5878
2,-4.2535